# AgTeOs

Crystalline AgTeOs at its relaxed geometry (PBE, the Alexandria database).

Its density of states at the Fermi level is 8.2 states/eV/cell. The distance to the lowest polymorph of the same formula comes out at 79 meV/atom. Its magnetization is 0.0 μB per formula unit. The value obtained for the energy is -15.721 eV per formula unit.

It has space group Cm (No. 8), with a = 11.463 Å, b = 3.919 Å, c = 6.511 Å, α = 90.00°, β = 112.04° and γ = 90.00°. Symmetry generates all atoms from Ag at (0.000, 0.000, 0.000), Ag at (0.243, 0.000, 0.284), Te at (0.290, 0.000, 0.883), Te at (0.466, 0.500, 0.514), Os at (0.050, 0.500, 0.350) and Os at (0.261, 0.500, 0.607).